The following is a DFT calculation (PBE) of a relaxed HoTm2ZrSc4 crystal. Values from VASP.

Properties
- DFT total energy: -5.473 eV/atom
- Density: 5.89 Mg/m³
- Crystal system: orthorhombic
- Spin magnetization: 3.07 Bohr magnetons per cell
- Space group: Imma, No. 74

Cell and atoms, written as Quantum ESPRESSO input:
```
&SYSTEM
  ibrav = 0, nat = 16, ntyp = 4
/
ATOMIC_SPECIES
Ho 164.93 Ho.upf
Tm 168.93 Tm.upf
Zr 91.22 Zr.upf
Sc 44.96 Sc.upf
CELL_PARAMETERS angstrom
-3.215 5.476 6.198
3.215 -5.476 6.198
3.215 5.476 -6.198
ATOMIC_POSITIONS angstrom
Ho -1.608 2.738 3.099
Ho 1.608 2.738 3.099
Tm 0.000 0.000 0.000
Tm 1.608 2.738 -3.099
Tm 1.608 -2.738 3.099
Tm 0.000 5.476 0.000
Zr 3.215 0.000 0.000
Zr 0.000 0.000 6.198
Sc 3.215 -0.007 2.942
Sc 1.738 2.738 -0.013
Sc 4.692 2.738 -0.013
Sc 3.215 5.468 -2.942
Sc 0.000 0.007 9.140
Sc -1.477 2.738 6.211
Sc 1.477 2.738 6.211
Sc 0.000 5.483 3.255
```